1.
Material: PaAgRhAu
Method: DFT, PBE-GGA
State: optimized geometry

a = 6.805 Å, b = 6.805 Å, c = 6.805 Å
α = 90.00°, β = 90.00°, γ = 90.00°
Fractional positions:
1 Pa 0.000 0.000 0.000
2 Pa 0.000 0.500 0.500
3 Pa 0.500 0.000 0.500
4 Pa 0.500 0.500 0.000
5 Ag 0.000 0.000 0.500
6 Ag 0.000 0.500 0.000
7 Ag 0.500 0.000 0.000
8 Ag 0.500 0.500 0.500
9 Rh 0.250 0.250 0.250
10 Rh 0.250 0.750 0.750
11 Rh 0.750 0.250 0.750
12 Rh 0.750 0.750 0.250
13 Au 0.250 0.250 0.750
14 Au 0.250 0.750 0.250
15 Au 0.750 0.250 0.250
16 Au 0.750 0.750 0.750

Results
Electronic total energy (eV per cell): -96.7
N(E_F) (states/eV/atom): 1.0053
Magnetization (μB per cell): 0.0

***

2.
Material: SmU2RhN4
Method: DFT, PBE-GGA
State: optimized geometry

a = 5.924 Å, b = 5.924 Å, c = 11.556 Å
α = 90.00°, β = 90.00°, γ = 145.41°
Fractional positions:
1 Sm 0.107 0.893 0.750
2 Sm 0.893 0.107 0.250
3 U 0.372 0.628 0.559
4 U 0.372 0.628 0.941
5 U 0.628 0.372 0.059
6 U 0.628 0.372 0.441
7 Rh 0.158 0.842 0.250
8 Rh 0.842 0.158 0.750
9 N 0.000 0.000 0.000
10 N 0.000 0.000 0.500
11 N 0.269 0.731 0.099
12 N 0.269 0.731 0.401
13 N 0.459 0.541 0.750
14 N 0.541 0.459 0.250
15 N 0.731 0.269 0.599
16 N 0.731 0.269 0.901

Results
N(E_F) (states/eV/atom): 0.6262
Magnetization (μB per cell): 4.2
Formation energy without anion corrections (meV per atom): -1089.4

***

3.
Material: VCd2Cu
Method: DFT, PBE-GGA
State: optimized geometry

a = 7.539 Å, b = 7.539 Å, c = 5.533 Å
α = 90.00°, β = 90.00°, γ = 90.00°
Fractional positions:
1 V 0.000 0.000 0.000
2 V 0.000 0.500 0.250
3 V 0.500 0.000 0.750
4 V 0.500 0.500 0.500
5 Cd 0.218 0.250 0.625
6 Cd 0.250 0.718 0.875
7 Cd 0.250 0.782 0.375
8 Cd 0.282 0.250 0.125
9 Cd 0.718 0.750 0.125
10 Cd 0.750 0.218 0.375
11 Cd 0.750 0.282 0.875
12 Cd 0.782 0.750 0.625
13 Cu 0.000 0.000 0.500
14 Cu 0.000 0.500 0.750
15 Cu 0.500 0.000 0.250
16 Cu 0.500 0.500 0.000

Results
Electronic total energy (eV per cell): -51.2
N(E_F) (states/eV/atom): 1.0944
Magnetization (μB per cell): 13.8

***

4.
Material: Sc2FeMo
Method: DFT, PBE-GGA
State: optimized geometry

a = 3.102 Å, b = 4.795 Å, c = 8.984 Å
α = 90.00°, β = 90.00°, γ = 90.00°
Fractional positions:
1 Sc 0.000 0.000 0.220
2 Sc 0.000 0.000 0.780
3 Sc 0.500 0.500 0.280
4 Sc 0.500 0.500 0.720
5 Fe 0.000 0.500 0.500
6 Fe 0.500 0.000 0.000
7 Mo 0.000 0.500 0.000
8 Mo 0.500 0.000 0.500

Results
Electronic total energy (eV per cell): -62.2
N(E_F) (states/eV/atom): 1.2497
Magnetization (μB per cell): 0.1

***

5.
Material: Sm3ZnGa2
Method: DFT, PBE-GGA
State: optimized geometry

a = 3.630 Å, b = 3.630 Å, c = 11.076 Å
α = 90.00°, β = 90.00°, γ = 90.00°
Fractional positions:
1 Sm 0.000 0.000 0.000
2 Sm 0.000 0.000 0.336
3 Sm 0.000 0.000 0.664
4 Zn 0.500 0.500 0.500
5 Ga 0.500 0.500 0.171
6 Ga 0.500 0.500 0.829

Results
Electronic total energy (eV per cell): -24.4
N(E_F) (states/eV/atom): 0.8267
Magnetization (μB per cell): 0.0

***

6.
Material: BaPtBr2
Method: DFT, PBE-GGA
State: optimized geometry

a = 4.505 Å, b = 4.505 Å, c = 6.495 Å
α = 90.00°, β = 90.00°, γ = 90.00°
Fractional positions:
1 Ba 0.000 0.000 0.000
2 Pt 0.500 0.500 0.800
3 Br 0.000 0.000 0.524
4 Br 0.500 0.500 0.166

Results
Magnetization (μB per cell): 0.0
Formation energy without anion corrections (meV per atom): -824.8

***

7.
Material: Y5Er5Th
Method: DFT, PBE-GGA
State: optimized geometry

a = 6.025 Å, b = 6.025 Å, c = 11.636 Å
α = 90.00°, β = 90.00°, γ = 120.00°
Fractional positions:
1 Y 0.000 0.000 0.240
2 Y 0.000 0.000 0.760
3 Y 0.335 0.167 0.000
4 Y 0.833 0.167 0.000
5 Y 0.833 0.665 0.000
6 Er 0.000 0.000 0.500
7 Er 0.333 0.667 0.178
8 Er 0.333 0.667 0.822
9 Er 0.667 0.333 0.350
10 Er 0.667 0.333 0.650
11 Th 0.333 0.667 0.500

Results
Electronic total energy (eV per cell): -58.3
N(E_F) (states/eV/atom): 1.8912
Magnetization (μB per cell): 0.0

***

8.
Material: CaHgBiSb
Method: DFT, PBE-GGA
State: optimized geometry

a = 4.439 Å, b = 4.902 Å, c = 5.256 Å
α = 90.00°, β = 90.00°, γ = 90.00°
Fractional positions:
1 Ca 0.000 0.000 0.000
2 Hg 0.500 0.500 0.000
3 Bi 0.000 0.500 0.500
4 Sb 0.500 0.000 0.500

Results
N(E_F) (states/eV/atom): 0.3982
Magnetization (μB per cell): 0.0
Formation energy without anion corrections (meV per atom): -408.9

***

9.
Material: Eu2TePt
Method: DFT, PBE-GGA
State: optimized geometry

a = 4.408 Å, b = 4.408 Å, c = 21.888 Å
α = 90.00°, β = 90.00°, γ = 120.00°
Fractional positions:
1 Eu 0.000 0.000 0.242
2 Eu 0.000 0.000 0.758
3 Eu 0.333 0.667 0.425
4 Eu 0.333 0.667 0.908
5 Eu 0.667 0.333 0.092
6 Eu 0.667 0.333 0.575
7 Te 0.000 0.000 0.000
8 Te 0.333 0.667 0.667
9 Te 0.667 0.333 0.333
10 Pt 0.000 0.000 0.500
11 Pt 0.333 0.667 0.167
12 Pt 0.667 0.333 0.833

Results
N(E_F) (states/eV/atom): 5.3152
Magnetization (μB per cell): 41.9
Formation energy without anion corrections (meV per atom): -1189.1

***

10.
Material: Tl12Cd2Pb5
Method: DFT, PBE-GGA
State: optimized geometry

a = 9.671 Å, b = 9.671 Å, c = 10.005 Å
α = 104.10°, β = 104.10°, γ = 41.41°
Fractional positions:
1 Tl 0.007 0.007 0.174
2 Tl 0.087 0.589 0.977
3 Tl 0.107 0.584 0.604
4 Tl 0.411 0.913 0.023
5 Tl 0.416 0.893 0.396
6 Tl 0.460 0.460 0.280
7 Tl 0.540 0.540 0.720
8 Tl 0.584 0.107 0.604
9 Tl 0.589 0.087 0.977
10 Tl 0.893 0.416 0.396
11 Tl 0.913 0.411 0.023
12 Tl 0.993 0.993 0.826
13 Cd 0.202 0.798 0.500
14 Cd 0.798 0.202 0.500
15 Pb 0.162 0.162 0.712
16 Pb 0.284 0.284 0.279
17 Pb 0.500 0.500 0.000
18 Pb 0.716 0.716 0.721
19 Pb 0.838 0.838 0.288

Results
Electronic total energy (eV per cell): -47.6
N(E_F) (states/eV/atom): 0.4428
Magnetization (μB per cell): 0.0

***

Which formula does entry 1 have? PaAgRhAu

***

Among the records above, which one has the highest magnetization? Eu2TePt